[1]
## MnSb2Br2 (PBE-GGA)

Data for MnSb2Br2 after structural relaxation.

The raw formation energy is 194 meV per atom. The space group is I4/mmm, No. 139. As for the total energy: -3.958 eV/atom.

a b c (Å): 12.1002 12.1002 12.1002
angles (deg): 161.22 161.22 26.67
Last column: nearest neighbours and their distance in Å.
Fractional coordinates of all 5 atoms:
Mn 0.0000 0.0000 0.0000  8 Br 3.23
Sb 0.2500 0.7500 0.5000  4 Sb 2.79
Sb 0.7500 0.2500 0.5000  4 Sb 2.79
Br 0.5690 0.5690 0.0000  4 Mn 3.23, 1 Br 3.25
Br 0.4310 0.4310 0.0000  4 Mn 3.23, 1 Br 3.25

---

[2]
## Rb2Cd2S3 (PBE-GGA)

Data for Rb2Cd2S3 after structural relaxation.

The raw formation energy is -868 meV per atom. The space group is C2/m, No. 12. The calculation puts the energy above the most stable polymorph in this dataset at 0.12 eV per formula unit. As for the total energy: -3.175 eV/atom.

a b c (Å): 4.2718 8.3318 7.6395
angles (deg): 123.74 106.24 90.00
Last column: nearest neighbours and their distance in Å.
Fractional coordinates of all 7 atoms:
Rb 0.5614 0.7827 0.1229  4 S 3.25-3.53
Rb 0.4386 0.2173 0.8771  4 S 3.25-3.53
Cd 0.8054 0.6911 0.6108  4 S 2.50-2.69
Cd 0.1946 0.3089 0.3892  4 S 2.50-2.69
S 0.0000 0.0000 0.0000  2 Cd 2.50
S 0.8140 0.3768 0.6280  3 Cd 2.61-2.69
S 0.1860 0.6232 0.3720  3 Cd 2.61-2.69